[1]
A relaxed structure of RbZrSN2. Source: Alexandria, functional PBE.

Cell lengths 4.4749, 4.4749, 5.1201 Å; angles 90.00, 90.00, 90.00 degrees
Sites, in units of the cell vectors:
S (0.0000, 0.0000, 0.5000)
Rb (0.5000, 0.5000, 0.5000)
Zr (0.0000, 0.0000, 0.0000)
N (0.0000, 0.5000, 0.0000)
N (0.5000, 0.0000, 0.0000)

Values from the calculation:
* DOS(E_F): 1.3 states/eV/f.u.
* ρ: 3.83 Mg/m³
* magnetic moment: 0.601 μB per atom
* formation energy (no corrections): -0.105 eV/atom
* SG: No. 123
* energy above the most stable polymorph in this dataset: 0 kJ/mol of formula units

---

[2]
A relaxed structure of Y2MgAl. Source: Alexandria, functional PBE.

Cell lengths 3.7215, 5.1983, 5.1983 Å; angles 90.00, 90.00, 90.00 degrees
Sites, in units of the cell vectors:
Y (0.0000, 0.0000, 0.5000)
Y (0.0000, 0.5000, 0.0000)
Mg (0.5000, 0.0000, 0.0000)
Al (0.5000, 0.5000, 0.5000)

Values from the calculation:
* DOS(E_F): 3.4 states/eV/f.u.
* ρ: 3.78 Mg/m³
* energy of formation: -285 meV/atom
* magnetic moment: 0.000 μB per atom
* SG: No. 123
* energy above the most stable polymorph in this dataset: 7 kJ/mol of formula units

---

[3]
A relaxed structure of ZrAu2Br. Source: Alexandria, functional PBE.

Cell lengths 3.3210, 3.3212, 7.7930 Å; angles 90.00, 90.00, 90.00 degrees
Sites, in units of the cell vectors:
Au (0.0000, 0.0000, 0.9799)
Au (0.0000, 0.0000, 0.5201)
Br (0.5000, 0.5000, 0.2500)
Zr (0.5000, 0.5000, 0.7500)

Values from the calculation:
* DOS(E_F): 1.9 states/eV/f.u.
* ρ: 10.92 Mg/m³
* magnetic moment: 0.109 μB per atom
* formation energy (no corrections): -0.267 eV/atom
* SG: No. 123
* energy above the most stable polymorph in this dataset: 72 kJ/mol of formula units

---

[4]
A relaxed structure of CaPaTe4. Source: Alexandria, functional PBE.

Cell lengths 7.5634, 6.9451, 7.8494 Å; angles 90.22, 90.00, 90.00 degrees
Sites, in units of the cell vectors:
Ca (0.5000, 0.5000, 0.0000)
Ca (0.0000, 0.0000, 0.0000)
Pa (0.0000, 0.5000, 0.5000)
Pa (0.5000, 0.0000, 0.5000)
Te (0.2497, 0.7496, 0.2663)
Te (0.2503, 0.2496, 0.2663)
Te (0.7504, 0.7496, 0.2663)
Te (0.2504, 0.7504, 0.7337)
Te (0.7496, 0.2496, 0.2663)
Te (0.2496, 0.2504, 0.7337)
Te (0.7497, 0.7504, 0.7337)
Te (0.7503, 0.2504, 0.7337)

Values from the calculation:
* DOS(E_F): 1.5 states/eV/f.u.
* ρ: 6.29 Mg/m³
* magnetic moment: 0.000 μB per atom
* formation energy (no corrections): -0.892 eV/atom
* SG: No. 12

---

[5]
A relaxed structure of NbTlAg. Source: Alexandria, functional PBE.

Cell lengths 3.4986, 3.4986, 10.6430 Å; angles 90.00, 90.00, 90.00 degrees
Sites, in units of the cell vectors:
Nb (0.0000, 0.0000, 0.2218)
Nb (0.5000, 0.5000, 0.1028)
Tl (0.0000, 0.0000, 0.6254)
Tl (0.5000, 0.5000, 0.3986)
Ag (0.5000, 0.5000, 0.8088)
Ag (0.0000, 0.0000, 0.9419)

Values from the calculation:
* DOS(E_F): 2.2 states/eV/f.u.
* ρ: 10.33 Mg/m³
* energy of formation: 236 meV/atom
* magnetic moment: 0.000 μB per atom
* SG: No. 99
* energy above the most stable polymorph in this dataset: 7 kJ/mol of formula units

---

[6]
A relaxed structure of GdErBi. Source: Alexandria, functional PBE.

Cell lengths 4.0550, 4.0550, 6.1251 Å; angles 109.33, 109.33, 90.00 degrees
Sites, in units of the cell vectors:
Gd (0.9584, 0.9584, 0.9167)
Bi (0.6200, 0.6200, 0.2399)
Er (0.2717, 0.2717, 0.5434)

Values from the calculation:
* DOS(E_F): 2.3 states/eV/f.u.
* ρ: 9.95 Mg/m³
* energy of formation: -490 meV/atom
* magnetic moment: 2.702 μB per atom
* SG: No. 107
* energy above the most stable polymorph in this dataset: 0 kJ/mol of formula units

---

[7]
A relaxed structure of CePu2Fe. Source: Alexandria, functional PBE.

Cell lengths 3.7077, 3.7077, 8.1098 Å; angles 76.79, 76.79, 60.00 degrees
Sites, in units of the cell vectors:
Fe (0.5000, 0.5000, 0.5000)
Ce (0.0000, 0.0000, 0.0000)
Pu (0.2306, 0.2306, 0.3083)
Pu (0.7694, 0.7694, 0.6917)

Values from the calculation:
* DOS(E_F): 9.6 states/eV/f.u.
* ρ: 12.20 Mg/m³
* energy of formation: 215 meV/atom
* magnetic moment: 2.853 μB per atom
* SG: No. 166
* energy above the most stable polymorph in this dataset: 50 kJ/mol of formula units

---

[8]
A relaxed structure of AcTmSn. Source: Alexandria, functional PBE.

Cell lengths 3.9869, 3.9869, 6.8627 Å; angles 106.89, 106.89, 90.00 degrees
Sites, in units of the cell vectors:
Ac (0.0085, 0.0085, 0.0169)
Tm (0.3050, 0.3050, 0.6100)
Sn (0.6865, 0.6865, 0.3731)

Values from the calculation:
* DOS(E_F): 4.5 states/eV/f.u.
* ρ: 8.59 Mg/m³
* energy of formation: -341 meV/atom
* magnetic moment: 0.327 μB per atom
* SG: No. 107
* energy above the most stable polymorph in this dataset: 74 kJ/mol of formula units